An optimized crystal structure of PuNpMnRh, computed with PBE.

```
data_PuNpMnRh
_space_group_name_H-M_alt 'F -4 3 m'
_space_group_IT_number 216
_space_group_name_Hall 'F -4 2 3'
_cell_length_a 6.466
_cell_length_b 6.466
_cell_length_c 6.466
_cell_angle_alpha 90.00
_cell_angle_beta 90.00
_cell_angle_gamma 90.00
loop_
_atom_site_label
_atom_site_type_symbol
_atom_site_fract_x
_atom_site_fract_y
_atom_site_fract_z
Pu1 Pu 0.000 0.000 0.000
Np1 Np 0.250 0.250 0.250
Mn1 Mn 0.000 0.000 0.500
Rh1 Rh 0.250 0.250 0.750
```

Summary:
electronic total energy: -177.4 eV/cell
density of states at the Fermi level: 7.5 states/eV/f.u.
energy of formation from the pure elements: -0.14 eV/atom



An optimized crystal structure of Pu2NpMnS5, computed with PBE.

```
data_Pu2NpMnS5
_space_group_name_H-M_alt 'C m c 21'
_space_group_IT_number 36
_cell_length_a 3.861
_cell_length_b 16.266
_cell_length_c 11.888
_cell_angle_alpha 90.00
_cell_angle_beta 90.00
_cell_angle_gamma 90.00
loop_
_space_group_symop_operation_xyz
'x,y,z'
'-x,-y,z+1/2'
'-x,y,z'
'x,-y,z+1/2'
'x+1/2,y+1/2,z'
'-x+1/2,-y+1/2,z+1/2'
'-x+1/2,y+1/2,z'
'x+1/2,-y+1/2,z+1/2'
loop_
_atom_site_label
_atom_site_type_symbol
_atom_site_fract_x
_atom_site_fract_y
_atom_site_fract_z
Pu1 Pu 0.000 0.111 0.000
Pu2 Pu 0.000 0.129 0.619
Np1 Np 0.000 0.199 0.319
Mn1 Mn 0.000 0.493 0.786
S1 S 0.000 0.043 0.387
S2 S 0.000 0.293 0.978
S3 S 0.000 0.310 0.660
S4 S 0.000 0.364 0.313
S5 S 0.000 0.499 0.094
```

Summary:
electronic total energy: -333.6 eV/cell
density of states at the Fermi level: 27.0 states/eV/f.u.
formation energy without anion corrections: -1.332 eV/atom



An optimized crystal structure of PuNpMnZn, computed with PBE.

```
data_PuNpMnZn
_space_group_name_H-M_alt 'F -4 3 m'
_space_group_IT_number 216
_space_group_name_Hall 'F -4 2 3'
_cell_length_a 6.398
_cell_length_b 6.398
_cell_length_c 6.398
_cell_angle_alpha 90.00
_cell_angle_beta 90.00
_cell_angle_gamma 90.00
loop_
_atom_site_label
_atom_site_type_symbol
_atom_site_fract_x
_atom_site_fract_y
_atom_site_fract_z
Pu1 Pu 0.000 0.000 0.000
Np1 Np 0.250 0.250 0.750
Mn1 Mn 0.000 0.000 0.500
Zn1 Zn 0.250 0.250 0.250
```

Summary:
electronic total energy: -146.9 eV/cell
density of states at the Fermi level: 15.6 states/eV/f.u.
energy of formation from the pure elements: 0.25 eV/atom



An optimized crystal structure of Rb2NpMn2S6, computed with PBE.

```
data_Rb2NpMn2S6
_space_group_name_H-M_alt 'R -3 m'
_space_group_IT_number 166
_space_group_name_Hall '-R 3 2"'
_cell_length_a 7.1898
_cell_length_b 7.1898
_cell_length_c 18.9897
_cell_angle_alpha 90.00
_cell_angle_beta 90.00
_cell_angle_gamma 120.00
loop_
_atom_site_label
_atom_site_type_symbol
_atom_site_fract_x
_atom_site_fract_y
_atom_site_fract_z
Rb1 Rb 0.0000 0.0000 0.2390
Np1 Np 0.0000 0.0000 0.0000
Mn1 Mn 0.0000 0.0000 0.4466
S1 S 0.0034 0.5017 0.2521
```

Summary:
electronic total energy: -201.8 eV/cell
density of states at the Fermi level: 6.4 states/eV/f.u.
formation energy without anion corrections: -0.843 eV/atom